Density functional theory data (PBE) for an optimized crystal structure of Th5CoBi2.

- DOS at the Fermi energy (states/eV per cell) = 8.06
- excess energy over the best structure of this formula in the dataset (meV/atom) = 176
- ΔE_f (meV/atom) = -204.1
- space-group type = I4mm, No. 107

Unit cell a=6.8749 b=6.8749 c=6.8749 alpha=112.61 beta=112.61 gamma=103.37
Last column: nearest neighbours and their distance in Å.
Fractional positions:
Th1 0.0000 0.0000 0.0000  1 Co 2.56
Th2 0.0500 0.0500 0.5081  1 Co 2.65
Th3 0.0500 0.5419 0.0000  1 Co 2.65
Th4 0.5419 0.0500 0.0000  1 Co 2.65
Th5 0.5419 0.5419 0.4919  1 Co 2.65
Co1 0.3008 0.3008 0.0000  5 Th 2.56-2.65
Bi1 0.0435 0.5435 0.5000  10 Th 3.42-3.83
Bi2 0.5435 0.0435 0.5000  10 Th 3.42-3.83